Entry 1:
Ba5Na4Ag: relaxed, PBE.

Values from the calculation:
* energy of formation from the pure elements: -0.036 eV/atom
* DOS at the Fermi energy: 10.7 states/eV per cell
* SG: P4/mmm
* density: 3.1 g cm⁻³

Lattice parameters (Å, degrees): 4.3181 4.3181 25.4358 90.00 90.00 90.00
Fractional coordinates of all 10 atoms:
Ba 0.5000 0.5000 0.0756
Ba 0.5000 0.5000 0.2886
Ba 0.5000 0.5000 0.5000
Ba 0.5000 0.5000 0.7114
Ba 0.5000 0.5000 0.9244
Na 0.0000 0.0000 0.1834
Na 0.0000 0.0000 0.3944
Na 0.0000 0.0000 0.6056
Na 0.0000 0.0000 0.8166
Ag 0.0000 0.0000 0.0000



Entry 2:
ScGeSb: relaxed, PBE.

Values from the calculation:
* DOS at the Fermi energy: 2.3 states/eV per cell
* formation energy from raw total energies: -148 meV/atom
* SG: P3m1
* density: 5.6 g cm⁻³

Lattice parameters (Å, degrees): 3.8960 4.5786 4.5786 120.00 90.00 90.00
Fractional coordinates of all 3 atoms:
Sc 0.2208 0.3333 0.6667
Sb 0.6770 0.6667 0.3333
Ge 0.1022 0.0000 0.0000



Entry 3:
Ce2Eu: relaxed, PBE.

Values from the calculation:
* energy of formation from the pure elements: 0.287 eV/atom
* DOS at the Fermi energy: 22.0 states/eV per cell
* SG: Fd-3m
* density: 7.3 g cm⁻³

Lattice parameters (Å, degrees): 6.5338 6.5338 6.5338 60.00 60.00 60.00
Fractional coordinates of all 6 atoms:
Eu 0.0000 0.0000 0.0000
Eu 0.2500 0.2500 0.2500
Ce 0.1250 0.6250 0.6250
Ce 0.6250 0.1250 0.6250
Ce 0.6250 0.6250 0.6250
Ce 0.6250 0.6250 0.1250



Entry 4:
ZrNiCl2: relaxed, PBE.

Values from the calculation:
* ΔE to the lowest computed polymorph: 0.0000 eV/atom
* DOS at the Fermi energy: 0.3 states/eV per cell
* formation energy from raw total energies: -925 meV/atom
* SG: Pm
* density: 4.0 g cm⁻³

Lattice parameters (Å, degrees): 3.3139 3.4484 8.1012 101.64 90.00 90.00
Fractional coordinates of all 4 atoms:
Ni 0.0000 0.2230 0.5254
Zr 0.5000 0.7883 0.6822
Cl 0.0000 0.9081 0.9297
Cl 0.5000 0.5806 0.3627



Entry 5:
Ac4Pt2Pb: relaxed, PBE.

Values from the calculation:
* ΔE to the lowest computed polymorph: 0.0000 eV/atom
* energy of formation from the pure elements: -0.855 eV/atom
* DOS at the Fermi energy: 12.4 states/eV per cell
* SG: Cmcm
* density: 10.0 g cm⁻³

Lattice parameters (Å, degrees): 4.5945 7.5926 15.0324 90.00 90.00 107.61
Fractional coordinates of all 14 atoms:
Ac 0.7668 0.5337 0.1141
Ac 0.7668 0.5337 0.3859
Ac 0.2332 0.4663 0.8859
Ac 0.2332 0.4663 0.6141
Ac 0.9425 0.8849 0.7500
Ac 0.0575 0.1151 0.2500
Ac 0.5000 0.0000 0.0000
Ac 0.5000 0.0000 0.5000
Pt 0.1320 0.2639 0.4399
Pt 0.8680 0.7361 0.9399
Pt 0.1320 0.2639 0.0601
Pt 0.8680 0.7361 0.5601
Pb 0.6144 0.2287 0.7500
Pb 0.3856 0.7713 0.2500



Entry 6:
FePC3: relaxed, PBE.

Values from the calculation:
* ΔE to the lowest computed polymorph: 0.4003 eV/atom
* energy of formation from the pure elements: 0.723 eV/atom
* DOS at the Fermi energy: 2.2 states/eV per cell
* SG: P1
* density: 4.0 g cm⁻³

Lattice parameters (Å, degrees): 3.0616 3.8931 4.5853 79.45 70.38 84.42
Fractional coordinates of all 5 atoms:
P 0.0483 0.0163 0.3296
C 0.8995 0.6744 0.7017
C 0.2396 0.4079 0.7152
C 0.4626 0.2156 0.4620
Fe 0.3058 0.8740 0.8595